DFT (PBE-GGA) results for crystalline MnAl2Os2 at its relaxed geometry.

Structure (extended XYZ):
```
10
Lattice="-4.538 -1.212 -4.994 -4.946 -0.779 4.683 -0.652 3.132 -0.168" Properties=species:S:1:pos:R:3 pbc="T T T"
Mn 0.000 0.000 0.000
Mn -4.742 -0.995 -0.156
Os -5.846 -1.097 2.231
Os -7.070 -1.538 -1.255
Os -3.638 -0.893 -2.542
Os -2.414 -0.452 0.944
Al -4.254 0.871 2.210
Al -7.478 0.115 0.617
Al -5.882 0.270 -2.689
Al -2.657 1.027 -1.096
```

Theoretical density, g/cm³: 10.8
Total magnetization, μB/f.u.: 3.750
V, Å³ per atom: 15.1
E_tot, eV per atom: -7.860
ΔH_f (0 K), eV per atom: -0.037